The following is a DFT calculation (PBE-GGA) of a relaxed V2Co3Rh crystal.

a b c (Å): 3.553 6.844 7.456
angles (deg): 122.79 90.00 105.04
Sites, in units of the cell vectors:
1 V 0.416 0.832 0.763
2 V 0.584 0.168 0.237
3 V 0.758 0.516 0.154
4 V 0.242 0.484 0.846
5 Co 0.252 0.503 0.380
6 Co 0.919 0.838 0.540
7 Co 0.582 0.165 0.695
8 Co 0.418 0.835 0.305
9 Co 0.081 0.162 0.460
10 Co 0.748 0.497 0.620
11 Rh 0.911 0.822 0.041
12 Rh 0.089 0.178 0.959

Its formation energy from the elements is -0.149 eV/atom. Its total energy is -95.600 eV/cell. The density of states at the Fermi level comes out at 6.52 states/eV/f.u. The symmetry is C2/m.